(1)
# LiCd2InS4

An optimized crystal structure of LiCd2InS4 (PBE-GGA, Alexandria via LeMat-Bulk).

* final energy: -3.663 eV per atom
* formation energy (no corrections): -0.788 eV per atom
* crystal system: tetragonal
* V: 24.69 A^3/atom

Cell lengths 7.103, 7.103, 7.103 Å; angles 131.37, 131.37, 71.22 degrees
Sites, in units of the cell vectors:
Li1 0.000 0.000 0.000
Cd1 0.250 0.750 0.500
Cd2 0.750 0.250 0.500
In1 0.500 0.500 0.000
S1 0.129 0.633 0.000
S2 0.367 0.367 0.495
S3 0.633 0.129 0.000
S4 0.871 0.871 0.505

---

(2)
# Ce2PmS4

An optimized crystal structure of Ce2PmS4 (PBE-GGA, Alexandria via LeMat-Bulk).

* final energy: -6.711 eV per atom
* formation energy (no corrections): -1.978 eV per atom
* crystal system: orthorhombic
* V: 25.23 A^3/atom

Cell lengths 7.018, 7.018, 13.376 Å; angles 90.00, 90.00, 147.57 degrees
Sites, in units of the cell vectors:
Ce1 0.132 0.868 0.570
Ce2 0.132 0.868 0.930
Ce3 0.868 0.132 0.070
Ce4 0.868 0.132 0.430
Pm1 0.376 0.624 0.750
Pm2 0.624 0.376 0.250
S1 0.027 0.973 0.750
S2 0.223 0.777 0.124
S3 0.223 0.777 0.376
S4 0.500 0.500 0.000
S5 0.500 0.500 0.500
S6 0.777 0.223 0.624
S7 0.777 0.223 0.876
S8 0.973 0.027 0.250

---

(3)
# CaPm2TlN

An optimized crystal structure of CaPm2TlN (PBE-GGA, Alexandria via LeMat-Bulk).

* final energy: -5.250 eV per atom
* formation energy (no corrections): -0.811 eV per atom
* crystal system: tetragonal
* V: 24.57 A^3/atom

Cell lengths 5.008, 5.008, 4.898 Å; angles 90.00, 90.00, 90.00 degrees
Sites, in units of the cell vectors:
Ca1 0.000 0.000 0.000
Pm1 0.000 0.500 0.500
Pm2 0.500 0.000 0.500
Tl1 0.500 0.500 0.000
N1 0.000 0.000 0.500